# CaRhF

Crystalline CaRhF at its relaxed geometry (PBE, Alexandria).

Properties
Calculated total energy (eV/atom): -4.57
Crystal system: cubic

Cell and atoms, written as extended XYZ:
```
12
Lattice="5.9518 0.0000 0.0000 0.0000 5.9518 0.0000 0.0000 0.0000 5.9518" Properties=species:S:1:pos:R:3 pbc="T T T"
Ca 0.0000 0.0000 0.0000
Ca 0.0000 2.9759 2.9759
Ca 2.9759 0.0000 2.9759
Ca 2.9759 2.9759 0.0000
Rh 0.0000 0.0000 2.9759
Rh 0.0000 2.9759 0.0000
Rh 2.9759 0.0000 0.0000
Rh 2.9759 2.9759 2.9759
F 1.4880 1.4880 4.4639
F 1.4880 4.4639 1.4880
F 4.4639 1.4880 1.4880
F 4.4639 4.4639 4.4639
```

---

# Dy3Si8Rh3

Crystalline Dy3Si8Rh3 at its relaxed geometry (PBE, Alexandria).

Properties
Calculated total energy (eV/atom): -6.37
Crystal system: monoclinic

Cell and atoms, written as extended XYZ:
```
14
Lattice="7.4262 -2.0728 0.0000 7.4262 2.0728 0.0000 -4.2068 0.0000 7.5525" Properties=species:S:1:pos:R:3 pbc="T T T"
Dy 0.0000 0.0000 0.0000
Dy 2.9434 0.0000 2.6497
Dy 7.7022 0.0000 4.9029
Si 0.0922 0.0000 2.8358
Si -1.5151 0.0000 6.3495
Si 2.2461 0.0000 5.6639
Si 5.9544 0.0000 2.1851
Si 4.6912 0.0000 5.3675
Si 8.3995 0.0000 1.8886
Si 12.1607 0.0000 1.2030
Si 10.5534 0.0000 4.7167
Rh -2.1034 0.0000 3.7763
Rh 0.6295 0.0000 7.4533
Rh 10.0161 0.0000 0.0992
```

---

# AgTe2

Crystalline AgTe2 at its relaxed geometry (PBE, Alexandria).

Properties
Calculated total energy (eV/atom): -2.94
Crystal system: orthorhombic

Cell and atoms, written as extended XYZ:
```
12
Lattice="11.1010 0.0000 0.0000 0.0000 6.9695 0.0000 0.0000 0.0000 4.4754" Properties=species:S:1:pos:R:3 pbc="T T T"
Ag 0.0000 0.9146 1.1188
Ag 0.0000 6.0549 3.3565
Ag 5.5505 2.5701 3.3565
Ag 5.5505 4.3994 1.1188
Te 1.4423 2.0845 3.3565
Te 1.4423 4.8850 1.1188
Te 4.1082 1.4002 1.1188
Te 4.1082 5.5693 3.3565
Te 6.9928 1.4002 1.1188
Te 6.9928 5.5693 3.3565
Te 9.6586 2.0845 3.3565
Te 9.6586 4.8850 1.1188
```

---

# CaTiPt2

Crystalline CaTiPt2 at its relaxed geometry (PBE, Alexandria).

Properties
E_form (eV/atom): -0.7428
Crystal system: tetragonal

Cell and atoms, written as extended XYZ:
```
4
Lattice="4.9113 0.0000 0.0000 0.0000 4.9113 0.0000 0.0000 0.0000 2.9777" Properties=species:S:1:pos:R:3 pbc="T T T"
Ca 0.0000 0.0000 0.0000
Ti 2.4556 2.4556 0.0000
Pt 0.0000 2.4556 1.4888
Pt 2.4556 0.0000 1.4888
```

---

# Tb2ThAl

Crystalline Tb2ThAl at its relaxed geometry (PBE, Alexandria).

Properties
E_form (eV/atom): 0.1064
Crystal system: trigonal

Cell and atoms, written as extended XYZ:
```
12
Lattice="3.4353 0.0000 0.0000 -1.7177 2.9751 0.0000 0.0000 0.0000 34.5263" Properties=species:S:1:pos:R:3 pbc="T T T"
Tb 0.0000 0.0000 3.4413
Tb 0.0000 0.0000 31.0850
Tb 0.0000 1.9834 19.5762
Tb 0.0000 1.9834 26.4589
Tb 1.7177 0.9917 8.0674
Tb 1.7177 0.9917 14.9501
Th 0.0000 0.0000 0.0000
Th 0.0000 1.9834 23.0176
Th 1.7177 0.9917 11.5088
Al 0.0000 0.0000 17.2632
Al 0.0000 1.9834 5.7544
Al 1.7177 0.9917 28.7719
```

---

# KThP2S8

Crystalline KThP2S8 at its relaxed geometry (PBE, Alexandria).

Properties
Calculated total energy (eV/atom): -5.04
Crystal system: trigonal

Cell and atoms, written as extended XYZ:
```
12
Lattice="6.1783 0.0000 0.0000 -3.0891 5.3505 0.0000 0.0000 0.0000 9.5799" Properties=species:S:1:pos:R:3 pbc="T T T"
K 0.0000 0.0000 0.0000
Th 0.0000 0.0000 4.7899
P 0.0000 3.5670 7.1320
P 3.0891 1.7835 2.4479
S -1.1033 1.9381 6.5034
S 0.0000 3.5670 9.1463
S -0.8591 5.3370 6.5034
S 1.1268 1.9245 3.0765
S 1.9624 3.4260 6.5034
S 3.9482 0.0135 3.0765
S 3.0891 1.7835 0.4336
S 4.1924 3.4125 3.0765
```

---

no.,M_tot (μB per cell)
1,1.7
2,0.0
3,0.0
4,0.5
5,0.0
6,1.0